Density functional theory data (GGA-PBE) for a relaxed structure of ScCrCdFe2.

Cell: 4.7867 4.7867 5.1837 Å, 90.00 90.00 90.00°
Atoms (fractional coordinates):
Sc  0.0000  0.0000  0.0000
Cr  0.5000  0.5000  0.0000
Cd  0.0000  0.0000  0.5000
Fe  0.0000  0.5000  0.5000
Fe  0.5000  0.0000  0.5000

Space-group type ... No. 123
Calculated formation energy ... 35.820 kcal/mol of atoms
E ... -5.21 eV/atom

=====

Density functional theory data (GGA-PBE) for a relaxed structure of Cr2CdFeSi.

Cell: 4.6271 4.6271 4.5452 Å, 90.00 90.00 90.00°
Atoms (fractional coordinates):
Cr  0.0000  0.5000  0.0000
Cr  0.5000  0.0000  0.0000
Cd  0.0000  0.0000  0.0000
Fe  0.0000  0.0000  0.5000
Si  0.5000  0.5000  0.5000

Space-group type ... No. 123
E ... -4.32 eV/atom
Uncorrected formation energy ... 2.485 eV/atom

=====

Density functional theory data (GGA-PBE) for a relaxed structure of CrCdFeSn2.

Cell: 4.9327 4.9327 4.6294 Å, 90.00 90.00 90.00°
Atoms (fractional coordinates):
Cr  0.0000  0.0000  0.0000
Cd  0.5000  0.5000  0.0000
Fe  0.0000  0.0000  0.5000
Sn  0.0000  0.5000  0.5000
Sn  0.5000  0.0000  0.5000

Space-group type ... No. 123
Calculated formation energy ... 10.683 kcal/mol of atoms
E ... -4.94 eV/atom

=====

Density functional theory data (GGA-PBE) for a relaxed structure of CrCdFeW2.

Cell: 4.5366 4.5366 4.3303 Å, 90.00 90.00 90.00°
Atoms (fractional coordinates):
Cr  0.0000  0.0000  0.0000
Cd  0.5000  0.5000  0.5000
Fe  0.0000  0.0000  0.5000
W  0.0000  0.5000  0.0000
W  0.5000  0.0000  0.0000

Space-group type ... No. 123
Calculated formation energy ... 31.665 kcal/mol of atoms
E ... -7.61 eV/atom